# TlCo7 GGA-PBE relaxed
# magnetization	10.239	μB/f.u.
# calculated formation energy	0.35	eV per atom
# space-group type	Fm-3m, No. 225
data_TlCo7
_cell_length_a 5.178
_cell_length_b 5.178
_cell_length_c 5.178
_cell_angle_alpha 60.00
_cell_angle_beta 60.00
_cell_angle_gamma 60.00
_symmetry_space_group_name_H-M 'P 1'
_symmetry_Int_Tables_number 1
_symmetry_space_group_name_Hall 'P 1'
loop_
_atom_site_label
_atom_site_type_symbol
_atom_site_fract_x
_atom_site_fract_y
_atom_site_fract_z
Tl1 Tl 0.000 0.000 0.000
Co1 Co 0.500 0.500 0.000
Co2 Co 0.500 0.000 0.500
Co3 Co 0.500 0.000 0.000
Co4 Co 0.000 0.000 0.500
Co5 Co 0.000 0.500 0.000
Co6 Co 0.000 0.500 0.500
Co7 Co 0.500 0.500 0.500